Entry 1:
DFT (PBE) results for a geometry-optimized Sc2GaOs3 structure.

Lattice parameters (Å, degrees): 5.2762 5.2762 8.3236 90.00 90.00 120.00
Positions (direct):
Sc 0.3333 0.6667 0.0672
Sc 0.3333 0.6667 0.4328
Sc 0.6667 0.3333 0.5672
Sc 0.6667 0.3333 0.9328
Ga 0.0000 0.0000 0.0000
Ga 0.0000 0.0000 0.5000
Os 0.1721 0.3442 0.7500
Os 0.1721 0.8279 0.7500
Os 0.3442 0.1721 0.2500
Os 0.6558 0.8279 0.7500
Os 0.8279 0.1721 0.2500
Os 0.8279 0.6558 0.2500

Output
Crystal system: hexagonal
E, eV per cell: -103.38

---

Entry 2:
DFT (PBE) results for a geometry-optimized ScGa2Os structure.

Lattice parameters (Å, degrees): 4.4917 4.4917 4.4917 60.00 60.00 60.00
Positions (direct):
Sc 0.0000 0.0000 0.0000
Ga 0.5000 0.5000 0.5000
Ga 0.7500 0.7500 0.7500
Os 0.2500 0.2500 0.2500

Output
Crystal system: cubic
E, eV per cell: -24.14

---

Entry 3:
DFT (PBE) results for a geometry-optimized ScGaOs2 structure.

Lattice parameters (Å, degrees): 4.4590 4.4590 4.4590 60.00 60.00 60.00
Positions (direct):
Sc 0.0000 0.0000 0.0000
Ga 0.7500 0.7500 0.7500
Os 0.2500 0.2500 0.2500
Os 0.5000 0.5000 0.5000

Output
Crystal system: cubic
E, eV per cell: -31.64

---

Number 1: total magnetic moment 0.010 μB/f.u.. Number 2: total magnetic moment 0.001 μB/f.u.. Number 3: total magnetic moment 0.032 μB/f.u..